{
  "formula": "DyInRh2",
  "functional": "GGA-PBE",
  "state": "optimized geometry",
  "crystal_system": "tetragonal",
  "dos_at_fermi_per_ev_atom": 0.1439,
  "total_magnetization_mub_per_atom": 0.000,
  "delta_e_f_mev_per_atom": -770,
  "lattice": [[3.547, 0.000, 0.000], [0.000, 4.528, 0.000], [0.000, 0.000, 4.528]],
  "species": ["Rh", "Rh", "Dy", "In"],
  "frac_coords": [[0.000, 0.000, 0.500], [0.000, 0.500, 0.000], [0.500, 0.500, 0.500], [0.500, 0.000, 0.000]]
}